# LiVPO2

An optimized crystal structure of LiVPO2 (PBE with a Hubbard U, Alexandria).

Lattice parameters (Å, degrees): 3.6851 3.6851 5.1104 90.00 90.00 90.00
Closest atoms and distances in Å follow each position.
Sites, in units of the cell vectors:
Li  0.0000  0.0000  0.0000  4 P 2.61
V  0.5000  0.5000  0.5000  4 O 1.84
P  0.5000  0.5000  0.0000  2 V 2.56, 4 Li 2.61
O  0.0000  0.5000  0.5000  2 V 1.84
O  0.5000  0.0000  0.5000  2 V 1.84

Results
As for the volume: 69 Å³/f.u. Its total energy is -29.043 eV/cell. The density of states at the Fermi level comes out at 3.0 states/eV per cell. The calculation puts the density at 2.892 g/cm3.